[1]
Compound: Rb2TbGaSe4
Source: Alexandria via LeMat-Bulk
Functional: PBE
Structure: relaxed

Geometry as POSCAR:
```
Rb2TbGaSe4
1.0
-7.0252 5.1243 0.6029
-2.1694 -4.3288 7.2478
7.9935 3.6737 -0.6150
Rb Tb Ga Se
4 2 2 8
direct
0.5000 0.0000 0.0000
0.5000 0.0000 0.5000
0.0000 0.0000 0.5000
0.5000 0.5000 0.0000
0.0000 0.5000 0.0000
0.0000 0.5000 0.5000
0.5000 0.5000 0.5000
0.0000 0.0000 0.0000
0.1996 0.7377 0.9647
0.7623 0.3004 0.5353
0.2377 0.6996 0.4647
0.8005 0.2623 0.0353
0.7834 0.7561 0.9688
0.7439 0.7166 0.5312
0.2561 0.2834 0.4688
0.2166 0.2439 0.0312
```

For the raw formation energy, the calculation gives -1.101 eV/atom. For the density of states at the Fermi level, the calculation gives 2.355 states/eV/cell. The space group is C2/c, No. 15.

[2]
Compound: YAlSe2
Source: Alexandria via LeMat-Bulk
Functional: PBE
Structure: relaxed

Geometry as POSCAR:
```
YAlSe2
1.0
-2.4260 -0.4566 -3.2302
1.4329 -1.7246 -3.3913
-2.3856 -7.2938 0.2656
Y Al Se
1 1 2
direct
0.7500 0.7500 0.7500
0.2500 0.2500 0.2500
0.0065 0.0065 0.9811
0.4935 0.4935 0.5189
```

For the raw formation energy, the calculation gives -1.089 eV/atom. For the density of states at the Fermi level, the calculation gives 0.136 states/eV/cell. The space group is R-3m, No. 166.

[3]
Compound: CdHgAs2
Source: Alexandria via LeMat-Bulk
Functional: PBE
Structure: relaxed

Geometry as POSCAR:
```
CdHgAs2
1.0
-2.5637 0.3672 2.3391
-2.2693 -1.3648 -2.2729
1.4663 -6.9247 2.6941
As Hg Cd
2 1 1
direct
0.0000 0.0000 0.0634
0.5000 0.5000 0.2030
0.5000 0.5000 0.7480
0.0000 0.0000 0.4856
```

The value obtained for the energy of formation from the pure elements is 0.173 eV per atom. For the density of states at the Fermi level, the calculation gives 1.483 states/eV/cell. For the relative energy among the computed polymorphs, the calculation gives 0.1510 eV per atom. The space group is P4mm, No. 99.

[4]
Compound: KBaTiBr2
Source: Alexandria via LeMat-Bulk
Functional: PBE
Structure: relaxed

Geometry as POSCAR:
```
KBaTiBr2
1.0
5.3971 0.0000 0.0000
0.0000 6.6041 0.0000
0.0000 0.0000 5.3971
K Ba Br Ti
1 1 2 1
direct
0.0000 0.5000 0.0000
0.5000 0.5000 0.5000
0.0000 0.0000 0.5000
0.5000 0.0000 0.0000
0.0000 0.0000 0.0000
```

For the raw formation energy, the calculation gives -0.271 eV/atom. For the density of states at the Fermi level, the calculation gives 6.060 states/eV/cell. The space group is P4/mmm, No. 123.

[5]
Compound: AlCo2ReH
Source: Alexandria via LeMat-Bulk
Functional: PBE
Structure: relaxed

Geometry as POSCAR:
```
AlCo2ReH
1.0
3.7095 0.0000 0.0000
0.0000 3.7095 0.0000
0.0000 0.0000 3.8094
Re Co Al H
1 2 1 1
direct
0.0000 0.0000 0.5000
0.0000 0.5000 0.0000
0.5000 0.0000 0.0000
0.5000 0.5000 0.5000
0.0000 0.0000 0.0000
```

The calculation puts the total energy at -6.74 eV/atom. For the density of states at the Fermi level, the calculation gives 6.021 states/eV/cell. The space group is P4/mmm, No. 123.

[6]
Compound: InGa6Hg
Source: Alexandria via LeMat-Bulk
Functional: PBE
Structure: relaxed

Geometry as POSCAR:
```
InGa6Hg
1.0
-4.0167 0.1702 0.5882
0.6617 -3.2952 5.4727
0.6179 5.8752 2.5192
In Ga Hg
1 6 1
direct
0.0000 0.6246 0.3754
0.5000 0.8893 0.6478
0.5000 0.3522 0.1107
0.5000 0.3637 0.6363
0.0000 0.6115 0.8600
0.0000 0.1400 0.3885
0.0000 0.1405 0.8595
0.5000 0.8782 0.1218
```

The value obtained for the energy of formation from the pure elements is 0.039 eV per atom. For the density of states at the Fermi level, the calculation gives 1.816 states/eV/cell. The space group is Amm2, No. 38.

[7]
Compound: La3Nd6Ho2
Source: Alexandria via LeMat-Bulk
Functional: PBE
Structure: relaxed

Geometry as POSCAR:
```
La3Nd6Ho2
1.0
-0.3943 3.1454 -3.7080
-2.9034 -3.1365 -2.3518
-11.9524 7.0284 10.4420
La Nd Ho
3 6 2
direct
0.0000 0.0000 0.0000
0.7941 0.7941 0.5883
0.2059 0.2059 0.4117
0.1180 0.6180 0.2361
0.6180 0.1180 0.2361
0.8820 0.3820 0.7639
0.3820 0.8820 0.7639
0.6916 0.6916 0.3833
0.3084 0.3084 0.6167
0.4548 0.4548 0.9095
0.5452 0.5452 0.0905
```

The value obtained for the energy of formation from the pure elements is 0.258 eV per atom. For the density of states at the Fermi level, the calculation gives 14.705 states/eV/cell. For the relative energy among the computed polymorphs, the calculation gives 0.1241 eV per atom. The space group is I4/mmm, No. 139.

[8]
Compound: Sc2V2Ge
Source: Alexandria via LeMat-Bulk
Functional: PBE
Structure: relaxed

Geometry as POSCAR:
```
Sc2V2Ge
1.0
-2.8351 4.8897 -3.4146
-0.6059 -3.9973 -5.2212
-3.6675 -1.1920 1.3382
Sc Ge V
4 2 4
direct
0.1703 0.6703 0.5000
0.6703 0.8297 0.5000
0.8297 0.3297 0.5000
0.3297 0.1703 0.5000
0.0000 0.0000 0.0000
0.5000 0.5000 0.0000
0.3720 0.8720 0.0000
0.8720 0.6280 0.0000
0.6280 0.1280 0.0000
0.1280 0.3720 0.0000
```

The value obtained for the energy of formation from the pure elements is -0.091 eV per atom. For the density of states at the Fermi level, the calculation gives 8.571 states/eV/cell. For the relative energy among the computed polymorphs, the calculation gives 0.0000 eV per atom. The space group is P4/mbm, No. 127.

[9]
Compound: BaNbGa3
Source: Alexandria via LeMat-Bulk
Functional: PBE
Structure: relaxed

Geometry as POSCAR:
```
BaNbGa3
1.0
-0.1030 4.9685 -1.2713
-2.9769 -1.0933 -4.0318
-4.1761 0.6569 2.9054
Nb Ba Ga
1 1 3
direct
0.0000 0.0000 0.0000
0.5000 0.5000 0.5000
0.0000 0.5000 0.0000
0.0000 0.0000 0.5000
0.5000 0.0000 0.0000
```

The value obtained for the energy of formation from the pure elements is -0.220 eV per atom. For the density of states at the Fermi level, the calculation gives 1.568 states/eV/cell. The space group is Pm-3m, No. 221.

[10]
Compound: LuThTi
Source: Alexandria via LeMat-Bulk
Functional: PBE
Structure: relaxed

Geometry as POSCAR:
```
LuThTi
1.0
-0.2777 2.3142 -2.4449
-2.2763 -3.5203 -3.0736
-2.8921 2.9681 3.1380
Lu Th Ti
1 1 1
direct
0.1655 0.0000 0.0000
0.6666 0.6667 0.3333
0.1679 0.3333 0.6667
```

The value obtained for the energy of formation from the pure elements is 0.194 eV per atom. For the density of states at the Fermi level, the calculation gives 3.812 states/eV/cell. The space group is P3m1, No. 156.

[11]
Compound: CuSb2Te
Source: Alexandria via LeMat-Bulk
Functional: PBE
Structure: relaxed

Geometry as POSCAR:
```
CuSb2Te
1.0
-4.6467 -3.7688 0.0387
0.9168 -4.5200 -3.8113
2.5207 2.5208 4.8050
Cu Sb Te
1 2 1
direct
0.2500 0.7500 0.5000
0.0889 0.0889 0.0000
0.4111 0.4111 0.0000
0.7500 0.2500 0.5000
```

For the raw formation energy, the calculation gives 0.231 eV/atom. For the density of states at the Fermi level, the calculation gives 1.948 states/eV/cell. The space group is Immm, No. 71.

[12]
Compound: YZrMo2Pb
Source: Alexandria via LeMat-Bulk
Functional: PBE
Structure: relaxed

Geometry as POSCAR:
```
YZrMo2Pb
1.0
-0.6768 4.9622 -0.9492
-1.8090 -1.1719 -4.8368
-4.7426 -0.2940 1.8450
Pb Y Mo Zr
1 1 2 1
direct
0.0000 0.0000 0.0000
0.5000 0.5000 0.5000
0.0000 0.0000 0.5000
0.5000 0.0000 0.0000
0.0000 0.5000 0.0000
```

The value obtained for the energy of formation from the pure elements is 1.596 eV per atom. For the density of states at the Fermi level, the calculation gives 8.121 states/eV/cell. The space group is P4/mmm, No. 123.

[13]
Compound: Pm2TlPb5
Source: Alexandria via LeMat-Bulk
Functional: PBE
Structure: relaxed

Geometry as POSCAR:
```
Pm2TlPb5
1.0
4.9575 0.0000 0.0000
0.0000 6.8810 0.0000
0.0000 0.0000 13.7770
Pm Tl Pb
4 2 10
direct
0.5000 0.2542 0.3733
0.5000 0.7458 0.6267
0.5000 0.2458 0.8733
0.5000 0.7542 0.1267
0.0000 0.0000 0.5000
0.0000 0.5000 0.0000
0.5000 0.2540 0.1235
0.5000 0.7460 0.8765
0.5000 0.7540 0.3765
0.5000 0.2460 0.6235
0.0000 0.9973 0.7493
0.0000 0.0027 0.2507
0.0000 0.4973 0.7507
0.0000 0.5027 0.2493
0.0000 0.5000 0.5000
0.0000 0.0000 0.0000
```

The value obtained for the energy of formation from the pure elements is -0.361 eV per atom. For the density of states at the Fermi level, the calculation gives 7.926 states/eV/cell. The space group is Pbam, No. 55.

[14]
Compound: Ca3TlRe
Source: Alexandria via LeMat-Bulk
Functional: PBE
Structure: relaxed

Geometry as POSCAR:
```
Ca3TlRe
1.0
-4.3539 -3.4876 -1.6755
3.7064 -4.4834 -0.2988
-1.1107 -1.2895 5.5705
Re Tl Ca
1 1 3
direct
0.5000 0.5000 0.5000
0.0000 0.0000 0.0000
0.0000 0.5000 0.0000
0.0000 0.0000 0.5000
0.5000 0.0000 0.0000
```

The value obtained for the energy of formation from the pure elements is 1.171 eV per atom. For the density of states at the Fermi level, the calculation gives 5.722 states/eV/cell. For the relative energy among the computed polymorphs, the calculation gives 0.5766 eV per atom. The space group is Pm-3m, No. 221.

[15]
Compound: FeAsPb
Source: Alexandria via LeMat-Bulk
Functional: PBE
Structure: relaxed

Geometry as POSCAR:
```
FeAsPb
1.0
-2.0513 2.2168 2.7184
-2.4275 -3.1703 0.7535
4.5952 -2.2569 5.3081
As Pb Fe
2 2 2
direct
0.5000 0.0000 0.6637
0.0000 0.5000 0.3363
0.5000 0.0000 0.1741
0.0000 0.5000 0.8259
0.5000 0.5000 0.5000
0.0000 0.0000 0.5000
```

The value obtained for the energy of formation from the pure elements is 0.024 eV per atom. For the density of states at the Fermi level, the calculation gives 4.297 states/eV/cell. For the relative energy among the computed polymorphs, the calculation gives 0.0000 eV per atom. The space group is P4/nmm, No. 129.

[16]
Compound: K2CuTe2Se6
Source: Alexandria via LeMat-Bulk
Functional: PBE
Structure: relaxed

Geometry as POSCAR:
```
K2CuTe2Se6
1.0
6.9773 -0.0799 0.0130
-3.5180 6.0260 0.0130
-1.2886 -2.2149 7.9780
K Cu Te Se
2 1 2 6
direct
0.8331 0.1669 0.0000
0.1669 0.8331 0.0000
0.0000 0.0000 0.5000
0.3294 0.6706 0.5000
0.6706 0.3294 0.5000
0.7710 0.7710 0.6786
0.0713 0.3944 0.6971
0.2290 0.2290 0.3214
0.3944 0.0713 0.6971
0.9287 0.6056 0.3029
0.6056 0.9287 0.3029
```

For the raw formation energy, the calculation gives -0.349 eV/atom. For the density of states at the Fermi level, the calculation gives 6.663 states/eV/cell. The space group is C2/m, No. 12.

[17]
Compound: FeCo2Si
Source: Alexandria via LeMat-Bulk
Functional: PBE
Structure: relaxed

Geometry as POSCAR:
```
FeCo2Si
1.0
-1.3522 0.6554 -3.0991
2.0150 -2.4220 -1.3913
-5.5040 -6.5165 -0.8904
Si Co Fe
2 4 2
direct
0.5000 0.5000 0.0000
0.2500 0.7500 0.5000
0.6059 0.1250 0.2500
0.1441 0.6250 0.2500
0.3750 0.3941 0.7500
0.8750 0.8559 0.7500
0.0000 0.0000 0.0000
0.7500 0.2500 0.5000
```

For the raw formation energy, the calculation gives 0.192 eV/atom. For the density of states at the Fermi level, the calculation gives 10.312 states/eV/cell. The space group is I-42d, No. 122.

[18]
Compound: HfZrTaTl
Source: Alexandria via LeMat-Bulk
Functional: PBE
Structure: relaxed

Geometry as POSCAR:
```
HfZrTaTl
1.0
4.9310 0.0000 0.0000
2.4655 4.2703 0.0000
2.4655 1.4234 4.0261
Tl Hf Zr Ta
1 1 1 1
direct
0.5000 0.5000 0.5000
0.2500 0.2500 0.2500
0.7500 0.7500 0.7500
0.0000 0.0000 0.0000
```

The value obtained for the energy of formation from the pure elements is 0.169 eV per atom. For the density of states at the Fermi level, the calculation gives 4.560 states/eV/cell. The space group is F-43m, No. 216.

[19]
Compound: Rb3Pu2US6
Source: Alexandria via LeMat-Bulk
Functional: PBE
Structure: relaxed

Geometry as POSCAR:
```
Rb3Pu2US6
1.0
7.1988 0.0024 0.0011
-3.5956 6.2365 0.0011
-1.2004 -2.0786 7.6530
Rb Pu U S
3 2 1 6
direct
0.1684 0.8316 0.5000
0.8316 0.1684 0.5000
0.5000 0.5000 0.5000
0.3335 0.6665 0.0000
0.6665 0.3335 0.0000
0.0000 0.0000 0.0000
0.9359 0.6109 0.8089
0.7384 0.7384 0.1911
0.0641 0.3891 0.1911
0.6109 0.9359 0.8089
0.2616 0.2616 0.8089
0.3891 0.0641 0.1911
```

For the raw formation energy, the calculation gives -1.473 eV/atom. For the density of states at the Fermi level, the calculation gives 33.437 states/eV/cell. The space group is C2/m, No. 12.

[20]
Compound: Rb12Hg5F3
Source: Alexandria via LeMat-Bulk
Functional: PBE
Structure: relaxed

Geometry as POSCAR:
```
Rb12Hg5F3
1.0
17.6912 0.0000 0.0000
-5.8971 16.6794 0.0000
-5.8971 -8.3397 14.4448
F Hg Rb
12 20 48
direct
0.7500 0.3750 0.1250
0.8750 0.7500 0.1250
0.3750 0.7500 0.6250
0.2500 0.1250 0.3750
0.8750 0.1250 0.2500
0.3750 0.6250 0.2500
0.6250 0.3750 0.7500
0.1250 0.8750 0.7500
0.7500 0.8750 0.6250
0.6250 0.2500 0.3750
0.1250 0.2500 0.8750
0.2500 0.6250 0.8750
0.1250 0.3750 0.2500
0.0000 0.5000 0.0000
0.0000 0.0000 0.0000
0.3750 0.2500 0.1250
0.5000 0.0000 0.5000
0.5000 0.5000 0.0000
0.1250 0.7500 0.3750
0.7500 0.1250 0.8750
0.7500 0.6250 0.3750
0.3750 0.1250 0.7500
0.6250 0.8750 0.2500
0.5000 0.5000 0.5000
0.5000 0.0000 0.0000
0.0000 0.0000 0.5000
0.2500 0.3750 0.6250
0.2500 0.8750 0.1250
0.0000 0.5000 0.5000
0.8750 0.2500 0.6250
0.6250 0.7500 0.8750
0.8750 0.6250 0.7500
0.7519 0.1201 0.0870
0.3351 0.5870 0.4670
0.9130 0.3799 0.2481
0.5870 0.2519 0.1201
0.6318 0.7519 0.6649
0.9130 0.5330 0.1649
0.3351 0.7481 0.3682
0.0330 0.8682 0.1201
0.5330 0.9130 0.6649
0.7519 0.6318 0.1649
0.7481 0.4130 0.3799
0.8351 0.9670 0.0870
0.1201 0.7519 0.5870
0.3799 0.4670 0.1318
0.1318 0.9670 0.3799
0.3682 0.1201 0.5330
0.1318 0.1649 0.2519
0.4130 0.6649 0.0330
0.8351 0.8682 0.2481
0.1201 0.3682 0.0330
0.3799 0.9130 0.7481
0.5330 0.6201 0.3682
0.9670 0.8351 0.5870
0.7481 0.3351 0.8682
0.4670 0.3799 0.6318
0.0330 0.1649 0.4130
0.2519 0.6649 0.1318
0.1649 0.1318 0.7519
0.6201 0.0870 0.2519
0.8799 0.6318 0.9670
0.5870 0.3351 0.9670
0.6318 0.8799 0.4670
0.8682 0.8351 0.7481
0.8682 0.0330 0.6201
0.8799 0.2481 0.4130
0.1649 0.0330 0.9130
0.6201 0.5330 0.8682
0.4670 0.0870 0.3351
0.2481 0.3682 0.8351
0.2519 0.5870 0.6201
0.9670 0.1318 0.8799
0.6649 0.2519 0.6318
0.4130 0.7481 0.8799
0.0870 0.4670 0.8351
0.3682 0.2481 0.3351
0.0870 0.6201 0.7519
0.6649 0.4130 0.5330
0.2481 0.8799 0.9130
```

For the raw formation energy, the calculation gives -0.639 eV/atom. For the density of states at the Fermi level, the calculation gives 57.333 states/eV/cell. The space group is Ia-3d, No. 230.

[21]
Compound: Pm6TiSn10
Source: Alexandria via LeMat-Bulk
Functional: PBE
Structure: relaxed

Geometry as POSCAR:
```
Pm6TiSn10
1.0
-4.5619 -2.7419 3.2879
3.4961 -8.3682 -2.1277
2.8683 4.4317 7.6753
Pm Ti Sn
6 1 10
direct
0.7427 0.3896 0.3896
0.7427 0.0000 0.6104
0.7427 0.6104 0.0000
0.2573 0.6104 0.6104
0.2573 0.0000 0.3896
0.2573 0.3896 0.0000
0.5000 0.0000 0.0000
0.7927 0.7715 0.7715
0.7927 0.0000 0.2285
0.7927 0.2285 0.0000
0.2073 0.2285 0.2285
0.2073 0.0000 0.7715
0.2073 0.7715 0.0000
0.5000 0.3333 0.6667
0.5000 0.6667 0.3333
0.0000 0.6667 0.3333
0.0000 0.3333 0.6667
```

The value obtained for the energy of formation from the pure elements is -0.544 eV per atom. For the density of states at the Fermi level, the calculation gives 11.064 states/eV/cell. The space group is P-31m, No. 162.